1.
The following is a SCAN calculation of CsBaYMg2 at its PBEsol-relaxed geometry, from the Alexandria database.

abc: 6.4004 6.4004 6.1628
angles: 90.00 90.00 90.00
Space group P4/mmm (No. 123)
One atom of each set of equivalent atoms:
Cs 0.0000 0.0000 0.0000
Ba 0.5000 0.5000 0.5000
Y 0.5000 0.5000 0.0000
Mg 0.0000 0.5000 0.5000

Computed properties:
- Magnetic moment: 0.09 μB per formula unit
- Formation enthalpy at 0 K: 0.8863 eV/atom
- Mass density: 2.682 g/cm³



2.
The following is a SCAN calculation of CsBa3N at its PBEsol-relaxed geometry, from the Alexandria database.

abc: 5.8738 5.8738 5.8738
angles: 90.00 90.00 90.00
Space group Pm-3m (No. 221)
One atom of each set of equivalent atoms:
Cs 0.0000 0.0000 0.0000
Ba 0.0000 0.5000 0.5000
N 0.5000 0.5000 0.5000

Computed properties:
- Magnetic moment: 0.00 μB per formula unit
- Energy relative to the elements, uncorrected: 17 meV/atom
- Mass density: 4.580 g/cm³



3.
The following is a SCAN calculation of CsBaN2O at its PBEsol-relaxed geometry, from the Alexandria database.

abc: 4.4159 4.4159 4.5537
angles: 90.00 90.00 90.00
Space group P4/mmm (No. 123)
One atom of each set of equivalent atoms:
Cs 0.0000 0.0000 0.0000
Ba 0.5000 0.5000 0.5000
N 0.0000 0.5000 0.0000
O 0.0000 0.0000 0.5000

Computed properties:
- Magnetic moment: 0.00 μB per formula unit
- Energy relative to the elements, uncorrected: 871 meV/atom
- Mass density: 5.876 g/cm³



4.
The following is a SCAN calculation of CsBaS2N at its PBEsol-relaxed geometry, from the Alexandria database.

abc: 5.4746 5.4746 4.5843
angles: 90.00 90.00 90.00
Space group P4/mmm (No. 123)
One atom of each set of equivalent atoms:
Cs 0.0000 0.0000 0.0000
Ba 0.5000 0.5000 0.5000
S 0.0000 0.5000 0.0000
N 0.0000 0.0000 0.5000

Computed properties:
- Magnetic moment: 1.29 μB per formula unit
- Energy relative to the elements, uncorrected: 443 meV/atom
- Mass density: 4.210 g/cm³



5.
The following is a SCAN calculation of CsBaTeN2 at its PBEsol-relaxed geometry, from the Alexandria database.

abc: 5.3666 5.3666 6.7231
angles: 90.00 90.00 90.00
Space group P4/mmm (No. 123)
One atom of each set of equivalent atoms:
Cs 0.0000 0.0000 0.0000
Ba 0.5000 0.5000 0.5000
Te 0.5000 0.5000 0.0000
N 0.0000 0.5000 0.5000

Computed properties:
- Magnetic moment: 5.02 μB per formula unit
- Energy relative to the elements, uncorrected: 618 meV/atom
- Mass density: 3.652 g/cm³



6.
The following is a SCAN calculation of CsBaNa2 at its PBEsol-relaxed geometry, from the Alexandria database.

abc: 9.6216 9.6216 9.6216
angles: 90.00 90.00 90.00
Space group Fm-3m (No. 225)
One atom of each set of equivalent atoms:
Cs 0.0000 0.0000 0.0000
Ba 0.0000 0.0000 0.5000
Na 0.2500 0.2500 0.2500

Computed properties:
- Magnetic moment: 0.02 μB per formula unit
- Formation enthalpy at 0 K: 0.0781 eV/atom
- Mass density: 2.358 g/cm³



7.
The following is a SCAN calculation of CsBaNa2P at its PBEsol-relaxed geometry, from the Alexandria database.

abc: 5.8242 5.8242 6.2569
angles: 90.00 90.00 90.00
Space group P4/mmm (No. 123)
One atom of each set of equivalent atoms:
Cs 0.0000 0.0000 0.0000
Ba 0.5000 0.5000 0.5000
Na 0.0000 0.5000 0.0000
P 0.0000 0.0000 0.5000

Computed properties:
- Magnetic moment: 0.00 μB per formula unit
- Formation enthalpy at 0 K: 0.3833 eV/atom
- Mass density: 2.716 g/cm³



8.
The following is a SCAN calculation of CsBaNb3 at its PBEsol-relaxed geometry, from the Alexandria database.

abc: 5.2720 5.2720 5.2720
angles: 90.00 90.00 90.00
Space group Pm-3m (No. 221)
One atom of each set of equivalent atoms:
Cs 0.0000 0.0000 0.0000
Ba 0.5000 0.5000 0.5000
Nb 0.0000 0.5000 0.5000

Computed properties:
- Magnetic moment: 0.57 μB per formula unit
- Formation enthalpy at 0 K: 2.7442 eV/atom
- Mass density: 6.221 g/cm³



9.
The following is a SCAN calculation of Cs2BaP2O7 at its PBEsol-relaxed geometry, from the Alexandria database.

abc: 10.7127 6.1765 15.3380
angles: 90.00 118.42 90.00
Space group P2_1/c (No. 14)
One atom of each set of equivalent atoms:
Cs 0.0144 0.2388 0.1436
Cs 0.4600 0.2244 0.3196
Ba 0.2660 0.2401 0.5106
P 0.1758 0.7459 0.1401
P 0.3169 0.7204 0.3611
O 0.0142 0.7371 0.0765
O 0.1956 0.6979 0.7509
O 0.2430 0.5619 0.6149
O 0.2485 0.5295 0.1451
O 0.2688 0.0052 0.8744
O 0.3057 0.6093 0.9293
O 0.4599 0.7204 0.3613

Computed properties:
- Magnetic moment: 0.00 μB per formula unit
- Energy relative to the elements, uncorrected: -2752 meV/atom
- Mass density: 4.294 g/cm³



10.
The following is a SCAN calculation of Cs4BaV6O18 at its PBEsol-relaxed geometry, from the Alexandria database.

abc: 13.9240 13.9240 19.8089
angles: 90.00 90.00 120.00
Space group R3c (No. 161, hexagonal axes)
One atom of each set of equivalent atoms:
Cs 0.0000 0.0000 0.0000
Cs 0.0081 0.4143 0.0039
Ba 0.0000 0.0000 0.2269
V 0.0565 0.2430 0.1400
V 0.1317 0.4074 0.5299
O 0.0090 0.3349 0.8231
O 0.0278 0.5127 0.7380
O 0.0290 0.2000 0.9185
O 0.0987 0.5468 0.3749
O 0.1527 0.0389 0.1221
O 0.1909 0.0881 0.8064

Computed properties:
- Magnetic moment: 0.27 μB per formula unit
- Energy relative to the elements, uncorrected: -2657 meV/atom
- Mass density: 3.782 g/cm³



11.
The following is a SCAN calculation of CsBa3Os at its PBEsol-relaxed geometry, from the Alexandria database.

abc: 6.1123 6.1123 6.1123
angles: 90.00 90.00 90.00
Space group Pm-3m (No. 221)
One atom of each set of equivalent atoms:
Cs 0.0000 0.0000 0.0000
Ba 0.0000 0.0000 0.5000
Os 0.5000 0.5000 0.5000

Computed properties:
- Magnetic moment: 2.51 μB per formula unit
- Formation enthalpy at 0 K: 1.8518 eV/atom
- Mass density: 5.345 g/cm³



12.
The following is a SCAN calculation of CsBaOs3 at its PBEsol-relaxed geometry, from the Alexandria database.

abc: 5.0164 5.0164 5.0164
angles: 90.00 90.00 90.00
Space group Pm-3m (No. 221)
One atom of each set of equivalent atoms:
Cs 0.0000 0.0000 0.0000
Ba 0.5000 0.5000 0.5000
Os 0.0000 0.0000 0.5000

Computed properties:
- Magnetic moment: 2.24 μB per formula unit
- Formation enthalpy at 0 K: 3.3059 eV/atom
- Mass density: 11.062 g/cm³